Entry 1:
PBE FeHg2Pt, optimized geometry; M_tot = 0.824 μB/atom; final energy = -13.9 eV per cell; formation energy from the elements = 1.3 eV per formula unit
1.0
4.659 0.000 0.000
2.330 4.035 0.000
2.330 1.345 3.804
Fe Hg Pt
1 2 1
direct
0.500 0.500 0.500 Fe
0.000 0.000 0.000 Hg
0.750 0.750 0.750 Hg
0.250 0.250 0.250 Pt

=====

Entry 2:
PBE Li3Th2TlSe6, optimized geometry; M_tot = 0.000 μB/atom; formation energy without anion corrections = -1.35 eV/atom; final energy = -60.1 eV per cell
1.0
4.294 0.000 0.000
0.000 9.339 0.829
-2.147 -2.104 8.273
Li Th Tl Se
3 2 1 6
direct
0.500 0.500 0.000 Li
0.846 0.261 0.691 Li
0.154 0.739 0.309 Li
0.839 0.671 0.677 Th
0.161 0.329 0.323 Th
0.500 0.000 0.000 Tl
0.307 0.857 0.614 Se
0.663 0.557 0.326 Se
0.693 0.143 0.386 Se
0.997 0.278 0.995 Se
0.003 0.722 0.005 Se
0.337 0.443 0.674 Se

=====

Entry 3:
PBE MnAlTlS4, optimized geometry; M_tot = 0.429 μB/atom; formation energy without anion corrections = -0.56 eV/atom; final energy = -71.4 eV per cell
1.0
6.119 0.000 -1.385
0.000 6.526 0.000
-4.206 0.000 9.090
Mn Al Tl S
2 2 2 8
direct
0.795 0.750 0.456 Mn
0.205 0.250 0.544 Mn
0.215 0.750 0.358 Al
0.785 0.250 0.642 Al
0.666 0.750 0.915 Tl
0.334 0.250 0.085 Tl
0.081 0.489 0.668 S
0.919 0.989 0.332 S
0.919 0.511 0.332 S
0.081 0.011 0.668 S
0.340 0.750 0.193 S
0.660 0.250 0.807 S
0.619 0.750 0.606 S
0.381 0.250 0.394 S

=====

Entry 4:
PBE TbY3Te2, optimized geometry; M_tot = 0.000 μB/atom; formation energy without anion corrections = -0.70 eV/atom; final energy = -34.5 eV per cell
1.0
5.055 0.000 -1.599
0.000 3.945 0.000
-0.117 0.000 8.420
Tb Y Te
1 3 2
direct
0.000 0.000 0.000 Tb
0.322 0.000 0.644 Y
0.678 0.000 0.356 Y
0.500 0.500 0.000 Y
0.157 0.500 0.313 Te
0.843 0.500 0.687 Te

=====

Entry 5:
PBE Sm2ErTe4, optimized geometry; M_tot = 0.000 μB/atom; formation energy without anion corrections = -1.39 eV/atom; final energy = -36.3 eV per cell; distance to the lowest polymorph of the same formula = 0 meV per atom
1.0
-0.378 4.338 0.531
-6.186 0.022 -4.589
-0.941 -3.255 7.805
Sm Er Te
2 1 4
direct
0.258 0.245 0.517 Sm
0.742 0.755 0.483 Sm
0.000 0.000 0.000 Er
0.117 0.791 0.234 Te
0.883 0.209 0.766 Te
0.375 0.716 0.749 Te
0.625 0.284 0.251 Te

=====

Entry 6:
PBE MgSiW, optimized geometry; M_tot = 0.000 μB/atom; formation energy without anion corrections = 0.04 eV/atom; final energy = -39.7 eV per cell
1.0
-2.253 1.195 -1.152
-1.975 -4.378 -2.346
-5.087 -2.921 4.217
Mg Si W
2 2 2
direct
0.021 0.699 0.146 Mg
0.979 0.301 0.854 Mg
0.399 0.151 0.217 Si
0.601 0.849 0.783 Si
0.716 0.270 0.491 W
0.284 0.730 0.509 W

=====

Entry 7:
PBE NaCuNO2, optimized geometry; M_tot = 0.272 μB/atom; formation energy without anion corrections = 1.65 eV/atom; final energy = -15.4 eV per cell
1.0
4.046 0.000 0.000
0.000 4.046 0.000
0.000 0.000 4.312
Na O Cu N
1 2 1 1
direct
0.000 0.000 0.000 Na
0.000 0.500 0.000 O
0.500 0.000 0.000 O
0.500 0.500 0.500 Cu
0.000 0.000 0.500 N

=====

Entry 8:
PBE Na2YSn3Se6, optimized geometry; M_tot = 0.000 μB/atom; formation energy without anion corrections = -0.91 eV/atom; final energy = -52.9 eV per cell
1.0
-6.739 -2.257 -1.686
2.694 -1.193 6.684
-1.230 7.260 0.463
Na Y Sn Se
2 1 3 6
direct
0.332 0.668 0.000 Na
0.668 0.332 0.000 Na
0.000 0.000 0.000 Y
0.163 0.837 0.500 Sn
0.837 0.163 0.500 Sn
0.500 0.500 0.500 Sn
0.915 0.602 0.755 Se
0.767 0.767 0.255 Se
0.085 0.398 0.245 Se
0.602 0.915 0.755 Se
0.233 0.233 0.745 Se
0.398 0.085 0.245 Se

=====

Entry 9:
PBE Ba5Sr2Au5, optimized geometry; M_tot = 0.000 μB/atom; final energy = -36.9 eV per cell; formation energy from the elements = -7.5 eV per formula unit
1.0
-0.346 -4.292 -1.615
7.376 -3.286 0.603
0.811 -7.155 12.293
Ba Sr Au
5 2 5
direct
0.500 0.500 0.500 Ba
0.345 0.260 0.049 Ba
0.258 0.129 0.356 Ba
0.742 0.871 0.644 Ba
0.655 0.740 0.951 Ba
0.961 0.291 0.786 Sr
0.039 0.709 0.214 Sr
0.886 0.811 0.418 Au
0.308 0.575 0.809 Au
0.692 0.425 0.191 Au
0.114 0.189 0.582 Au
0.000 0.000 0.000 Au

=====

Entry 10:
PBE Zr2NpV, optimized geometry; M_tot = 0.922 μB/atom; final energy = -36.8 eV per cell; formation energy from the elements = 2.3 eV per formula unit
1.0
2.943 0.000 0.000
1.471 2.549 0.000
1.471 0.850 11.109
Np Zr V
1 2 1
direct
0.000 0.000 0.000 Np
0.580 0.580 0.261 Zr
0.420 0.420 0.739 Zr
0.500 0.500 0.500 V

=====

Entry 11:
PBE LiRhIO2, optimized geometry; M_tot = 0.000 μB/atom; formation energy without anion corrections = -0.54 eV/atom; final energy = -23.4 eV per cell; distance to the lowest polymorph of the same formula = 0 meV per atom
1.0
-0.505 -0.987 -3.675
-0.918 -3.566 1.084
-6.162 1.705 0.389
I Rh O Li
1 1 2 1
direct
0.000 0.000 0.500 I
0.000 0.000 0.000 Rh
0.000 0.500 0.000 O
0.500 0.000 0.000 O
0.500 0.500 0.500 Li

=====

Entry 12:
PBE YAgSe2Br, optimized geometry; M_tot = 0.000 μB/atom; formation energy without anion corrections = -0.34 eV/atom; final energy = -19.7 eV per cell; distance to the lowest polymorph of the same formula = 202 meV per atom
1.0
-1.794 3.873 2.874
-2.597 -3.360 2.906
3.976 -0.428 3.058
Y Se Br Ag
1 2 1 1
direct
0.500 0.500 0.500 Y
0.000 0.500 0.000 Se
0.500 0.000 0.000 Se
0.000 0.000 0.500 Br
0.000 0.000 0.000 Ag

=====

Entry 13:
PBE Nd3Sc5Cd12, optimized geometry; M_tot = 0.000 μB/atom; final energy = -199.5 eV per cell; formation energy from the elements = 7.1 eV per formula unit
1.0
-8.290 -12.058 -2.850
14.223 -4.070 1.841
-4.930 6.596 12.427
Nd Sc Cd
12 20 48
direct
0.750 0.375 0.125 Nd
0.875 0.750 0.125 Nd
0.375 0.750 0.625 Nd
0.250 0.125 0.375 Nd
0.875 0.125 0.250 Nd
0.375 0.625 0.250 Nd
0.625 0.375 0.750 Nd
0.125 0.875 0.750 Nd
0.750 0.875 0.625 Nd
0.625 0.250 0.375 Nd
0.125 0.250 0.875 Nd
0.250 0.625 0.875 Nd
0.125 0.375 0.250 Sc
0.000 0.500 0.000 Sc
0.000 0.000 0.000 Sc
0.375 0.250 0.125 Sc
0.500 0.000 0.500 Sc
0.500 0.500 0.000 Sc
0.125 0.750 0.375 Sc
0.750 0.125 0.875 Sc
0.750 0.625 0.375 Sc
0.375 0.125 0.750 Sc
0.625 0.875 0.250 Sc
0.500 0.500 0.500 Sc
0.500 0.000 0.000 Sc
0.000 0.000 0.500 Sc
0.250 0.375 0.625 Sc
0.250 0.875 0.125 Sc
0.000 0.500 0.500 Sc
0.875 0.250 0.625 Sc
0.625 0.750 0.875 Sc
0.875 0.625 0.750 Sc
0.722 0.139 0.062 Cd
0.340 0.562 0.422 Cd
0.938 0.361 0.278 Cd
0.562 0.222 0.139 Cd
0.582 0.722 0.660 Cd
0.938 0.578 0.160 Cd
0.340 0.778 0.418 Cd
0.078 0.918 0.139 Cd
0.578 0.938 0.660 Cd
0.722 0.582 0.160 Cd
0.778 0.438 0.361 Cd
0.840 0.922 0.062 Cd
0.139 0.722 0.562 Cd
0.361 0.422 0.082 Cd
0.082 0.922 0.361 Cd
0.418 0.139 0.578 Cd
0.082 0.160 0.222 Cd
0.438 0.660 0.078 Cd
0.840 0.918 0.278 Cd
0.139 0.418 0.078 Cd
0.361 0.938 0.778 Cd
0.578 0.639 0.418 Cd
0.922 0.840 0.562 Cd
0.778 0.340 0.918 Cd
0.422 0.361 0.582 Cd
0.078 0.160 0.438 Cd
0.222 0.660 0.082 Cd
0.160 0.082 0.722 Cd
0.639 0.062 0.222 Cd
0.861 0.582 0.922 Cd
0.562 0.340 0.922 Cd
0.582 0.861 0.422 Cd
0.918 0.840 0.778 Cd
0.918 0.078 0.639 Cd
0.861 0.278 0.438 Cd
0.160 0.078 0.938 Cd
0.639 0.578 0.918 Cd
0.422 0.062 0.340 Cd
0.278 0.418 0.840 Cd
0.222 0.562 0.639 Cd
0.922 0.082 0.861 Cd
0.660 0.222 0.582 Cd
0.438 0.778 0.861 Cd
0.062 0.422 0.840 Cd
0.418 0.278 0.340 Cd
0.062 0.639 0.722 Cd
0.660 0.438 0.578 Cd
0.278 0.861 0.938 Cd

=====

Entry 14:
PBE Pr2ThSi6, optimized geometry; M_tot = 0.000 μB/atom; formation energy without anion corrections = -0.59 eV/atom; final energy = -54.8 eV per cell
1.0
-2.560 3.198 0.935
0.983 2.711 -6.576
-5.349 -4.636 1.210
Pr Th Si
2 1 6
direct
0.000 0.333 0.667 Pr
0.000 0.667 0.333 Pr
0.000 0.000 0.000 Th
0.500 0.332 0.332 Si
0.500 0.668 0.668 Si
0.500 0.000 0.668 Si
0.500 0.668 0.000 Si
0.500 0.332 0.000 Si
0.500 0.000 0.332 Si

=====

Entry 15:
PBE NaSrTc2O7, optimized geometry; M_tot = 0.070 μB/atom; formation energy without anion corrections = -1.74 eV/atom; final energy = -77.6 eV per cell
1.0
3.900 0.000 0.000
0.000 3.900 0.000
-1.950 -1.950 10.198
Na Sr Tc O
1 1 2 7
direct
0.250 0.750 0.500 Na
0.500 0.500 0.000 Sr
0.899 0.899 0.798 Tc
0.101 0.101 0.202 Tc
0.094 0.594 0.188 O
0.000 0.000 0.000 O
0.406 0.906 0.812 O
0.811 0.811 0.623 O
0.592 0.092 0.183 O
0.189 0.189 0.377 O
0.908 0.408 0.817 O

=====

Entry 16:
PBE Tm2PaFe, optimized geometry; M_tot = 0.269 μB/atom; final energy = -25.4 eV per cell; distance to the lowest polymorph of the same formula = 549 meV per atom; formation energy from the elements = 1.5 eV per formula unit
1.0
3.225 0.000 0.000
1.612 2.793 0.000
1.612 0.931 10.403
Pa Tm Fe
1 2 1
direct
0.000 0.000 0.000 Pa
0.104 0.104 0.689 Tm
0.896 0.896 0.311 Tm
0.500 0.500 0.500 Fe

=====

Entry 17:
PBE Ac2Mg12Ag3Hg, optimized geometry; M_tot = 0.000 μB/atom; final energy = -32.9 eV per cell; formation energy from the elements = 3.3 eV per formula unit
1.0
8.534 -0.762 -0.541
3.552 7.797 -0.541
3.552 2.067 7.537
Ac Mg Ag Hg
2 12 3 1
direct
0.593 0.593 0.593 Ac
0.407 0.407 0.407 Ac
0.292 0.292 0.858 Mg
0.862 0.862 0.366 Mg
0.366 0.862 0.862 Mg
0.858 0.292 0.292 Mg
0.862 0.366 0.862 Mg
0.292 0.858 0.292 Mg
0.708 0.708 0.142 Mg
0.138 0.138 0.634 Mg
0.634 0.138 0.138 Mg
0.142 0.708 0.708 Mg
0.138 0.634 0.138 Mg
0.708 0.142 0.708 Mg
0.500 0.000 0.000 Ag
0.000 0.500 0.000 Ag
0.000 0.000 0.500 Ag
0.000 0.000 0.000 Hg

=====

Entry 18:
PBE FeReIr3, optimized geometry; M_tot = 0.707 μB/atom; final energy = -38.1 eV per cell; distance to the lowest polymorph of the same formula = 1931 meV per atom; formation energy from the elements = 9.3 eV per formula unit
1.0
-2.546 3.094 -2.499
-1.068 -3.390 -3.109
-3.831 -1.111 2.527
Re Ir Fe
1 3 1
direct
0.000 0.000 0.000 Re
0.000 0.500 0.000 Ir
0.000 0.000 0.500 Ir
0.500 0.000 0.000 Ir
0.500 0.500 0.500 Fe

=====

Entry 19:
PBE NaAc2Y, optimized geometry; M_tot = 0.000 μB/atom; final energy = -15.4 eV per cell; distance to the lowest polymorph of the same formula = 70 meV per atom; formation energy from the elements = 0.6 eV per formula unit
1.0
-0.277 -3.414 -1.681
2.103 -0.784 -3.085
10.389 -6.059 6.262
Y Na Ac
1 1 2
direct
0.500 0.500 0.500 Y
0.000 0.000 0.000 Na
0.092 0.092 0.723 Ac
0.908 0.908 0.277 Ac

=====

Entry 20:
PBE PrAl, optimized geometry; M_tot = 0.000 μB/atom; final energy = -18.4 eV per cell; formation energy from the elements = -0.7 eV per formula unit
1.0
-1.169 1.114 4.004
-4.125 -1.708 -0.729
3.867 -4.321 2.332
Pr Al
2 2
direct
0.250 0.644 0.286 Pr
0.750 0.356 0.714 Pr
0.250 0.933 0.867 Al
0.750 0.067 0.133 Al

=====

Entry 21:
PBE Zr3Co2, optimized geometry; M_tot = 0.000 μB/atom; final energy = -163.5 eV per cell; distance to the lowest polymorph of the same formula = 29 meV per atom; formation energy from the elements = -1.0 eV per formula unit
1.0
3.431 0.000 0.000
0.000 7.184 0.000
0.000 0.000 14.829
Zr Co
12 8
direct
0.750 0.983 0.399 Zr
0.750 0.483 0.101 Zr
0.250 0.017 0.601 Zr
0.250 0.517 0.899 Zr
0.750 0.815 0.764 Zr
0.750 0.315 0.736 Zr
0.250 0.185 0.236 Zr
0.250 0.685 0.264 Zr
0.750 0.643 0.564 Zr
0.750 0.143 0.936 Zr
0.250 0.357 0.436 Zr
0.250 0.857 0.064 Zr
0.750 0.266 0.559 Co
0.750 0.766 0.941 Co
0.250 0.734 0.441 Co
0.250 0.234 0.059 Co
0.750 0.909 0.198 Co
0.750 0.409 0.302 Co
0.250 0.091 0.802 Co
0.250 0.591 0.698 Co

=====

Fermi-level density of states: 2.1; 0.0; 1.4; 5.8; 3.5; 0.8; 7.2; 4.6; 7.2; 5.8; 5.0; 0.7; 21.0; 4.0; 7.1; 5.5; 9.1; 9.0; 4.3; 2.4; 4.5 (states/eV/f.u.)